CaPCl3 after structural relaxation, computed with PBE-GGA.

a = 5.3079 Å, b = 5.3079 Å, c = 5.3079 Å
α = 90.00°, β = 90.00°, γ = 90.00°
Last column: nearest neighbours and their distance in Å.
Positions (direct):
Ca 0.0000 0.0000 0.0000  6 Cl 2.65
P 0.5000 0.5000 0.5000  12 Cl 3.75
Cl 0.0000 0.0000 0.5000  2 Ca 2.65
Cl 0.0000 0.5000 0.0000  2 Ca 2.65
Cl 0.5000 0.0000 0.0000  2 Ca 2.65

Values from the calculation:
Raw formation energy   -0.69 eV per atom
E above lowest polymorph   0.000 eV per atom
E   -3.283 eV/atom
Calculated density   1.97 g/cm³